# 1
MnCoIr2 | Alexandria via LeMat-Bulk | PBE | optimized geometry; space-group type = Pmmm (47); volume = 55.4 Å³ per cell; ΔE_f = 3.03 kcal/mol of atoms; E = -33.5 eV per cell; total magnetization = 6.06 μB/cell
1.0
2.8003 0.0000 0.0000
0.0000 4.5355 0.0000
0.0000 0.0000 4.3614
Co Ir Mn
1 2 1
Direct
0.0000 0.5000 0.5000 Co
0.0000 0.0000 0.0000 Ir
0.5000 0.5000 0.0000 Ir
0.5000 0.0000 0.5000 Mn

# 2
K2Tm2HfSe6 | Alexandria via LeMat-Bulk | PBE | optimized geometry; space-group type = C2/m (12); volume = 331.1 Å³ per cell; uncorrected formation energy = -1.650 eV per atom; E = -60.1 eV per cell; total magnetization = 0.00 μB/cell
1.0
6.9616 -0.0041 0.0539
-3.4444 6.0498 0.0539
-1.2622 -2.1696 7.8263
K Tm Hf Se
2 2 1 6
Direct
0.8302 0.1698 0.0000 K
0.1698 0.8302 0.0000 K
0.3329 0.6671 0.5000 Tm
0.6671 0.3329 0.5000 Tm
0.0000 0.0000 0.5000 Hf
0.7486 0.7486 0.6963 Se
0.0690 0.3871 0.6978 Se
0.2514 0.2514 0.3037 Se
0.3871 0.0690 0.6978 Se
0.9310 0.6129 0.3022 Se
0.6129 0.9310 0.3022 Se

What did the first record say?
MnCoIr2 | Alexandria via LeMat-Bulk | PBE | optimized geometry; space-group type = Pmmm (47); volume = 55.4 Å³ per cell; ΔE_f = 3.03 kcal/mol of atoms; E = -33.5 eV per cell; total magnetization = 6.06 μB/cell
1.0
2.8003 0.0000 0.0000
0.0000 4.5355 0.0000
0.0000 0.0000 4.3614
Co Ir Mn
1 2 1
Direct
0.0000 0.5000 0.5000 Co
0.0000 0.0000 0.0000 Ir
0.5000 0.5000 0.0000 Ir
0.5000 0.0000 0.5000 Mn

Repeat the first record exactly.
MnCoIr2 | Alexandria via LeMat-Bulk | PBE | optimized geometry; space-group type = Pmmm (47); volume = 55.4 Å³ per cell; ΔE_f = 3.03 kcal/mol of atoms; E = -33.5 eV per cell; total magnetization = 6.06 μB/cell
1.0
2.8003 0.0000 0.0000
0.0000 4.5355 0.0000
0.0000 0.0000 4.3614
Co Ir Mn
1 2 1
Direct
0.0000 0.5000 0.5000 Co
0.0000 0.0000 0.0000 Ir
0.5000 0.5000 0.0000 Ir
0.5000 0.0000 0.5000 Mn

Repeat the first record exactly.
MnCoIr2 | Alexandria via LeMat-Bulk | PBE | optimized geometry; space-group type = Pmmm (47); volume = 55.4 Å³ per cell; ΔE_f = 3.03 kcal/mol of atoms; E = -33.5 eV per cell; total magnetization = 6.06 μB/cell
1.0
2.8003 0.0000 0.0000
0.0000 4.5355 0.0000
0.0000 0.0000 4.3614
Co Ir Mn
1 2 1
Direct
0.0000 0.5000 0.5000 Co
0.0000 0.0000 0.0000 Ir
0.5000 0.5000 0.0000 Ir
0.5000 0.0000 0.5000 Mn